MnInFe2 at its PBEsol-relaxed geometry. Source: Alexandria via LeMat-Bulk, functional meta-GGA SCAN.

Computed properties:
Energy relative to the elements ... 0.16 eV per atom
Total DFT energy (no corrections) ... -21.82 eV/atom
Density of states at the Fermi level ... 2.948 states/eV/f.u.
M_tot ... 2.00 μB per atom

a b c (Å): 3.079 4.195 4.852
angles (deg): 115.67 108.50 90.00
Site moments in Bohr magnetons follow the coordinates.
Fractional coordinates of all 4 atoms:
Fe (0.234, 0.234, 0.469)  2.69
Fe (0.766, 0.766, 0.531)  2.69
In (0.000, 0.500, 0.000)  -0.21
Mn (0.500, 0.000, 0.000)  2.97